Record 1
VASP calculation (PBE) on crystalline MnOsRh2 at its relaxed geometry.

The calculation puts the energy of formation from the pure elements at 83 meV per atom. The value obtained for the calculated volume is 54 Å³/cell. The space group is No. 160. The uncorrected energy is -8.69 eV per atom. The crystal system is trigonal. The excess energy over the best structure of this formula in the dataset comes out at 0.105 eV/atom.

Cell and atoms, written as extended XYZ:
```
4
Lattice="1.3454 0.7768 8.6338 -1.3454 0.7768 8.6338 0.0000 -1.5535 8.6338" Properties=species:S:1:pos:R:3 pbc="T T T"
Mn 0.0000 0.0000 0.0000
Os 0.0000 0.0000 6.5794
Rh 0.0000 0.0000 12.9738
Rh 0.0000 0.0000 19.3096
```

***

Record 2
VASP calculation (PBE) on crystalline Pm6PrSm3Ho2 at its relaxed geometry.

The calculation puts the energy of formation from the pure elements at 14 meV per atom. The value obtained for the calculated volume is 405 Å³/cell. The space group is No. 12. The uncorrected energy is -4.70 eV per atom. The crystal system is monoclinic.

Cell and atoms, written as extended XYZ:
```
12
Lattice="3.1442 -5.4439 0.0000 3.1442 5.4439 0.0000 -2.0977 0.0000 11.8446" Properties=species:S:1:pos:R:3 pbc="T T T"
Pm -0.0076 1.8211 8.8942
Pm 1.0436 0.0000 2.9492
Pm -0.0076 -1.8211 8.8942
Pm 4.1983 1.8211 2.9504
Pm 3.1471 0.0000 8.8953
Pm 4.1983 -1.8211 2.9504
Pr 3.1442 0.0000 0.0000
Sm -1.0488 0.0000 5.9223
Sm 2.0954 1.8179 5.9223
Sm 2.0954 -1.8179 5.9223
Ho 3.1442 3.6297 0.0000
Ho 3.1442 -3.6297 0.0000
```

***

Record 3
VASP calculation (PBE) on crystalline LiAg2F4 at its relaxed geometry.

The value obtained for the calculated volume is 218 Å³/cell. The space group is No. 88. The uncorrected energy is -3.70 eV per atom. The crystal system is tetragonal. The excess energy over the best structure of this formula in the dataset comes out at 0.050 eV/atom.

Cell and atoms, written as extended XYZ:
```
14
Lattice="-2.9417 2.9417 6.3115 2.9417 -2.9417 6.3115 2.9417 2.9417 -6.3115" Properties=species:S:1:pos:R:3 pbc="T T T"
Li 0.0000 1.4709 1.5779
Li 2.9417 1.4709 4.7336
Ag 1.4709 1.4709 -3.1557
Ag 1.4709 -1.4709 3.1557
Ag 2.9417 0.0000 0.0000
Ag 0.0000 0.0000 6.3115
F 1.3342 -0.0169 1.5010
F 4.3957 0.1366 1.6547
F 1.3342 2.9248 -1.5010
F 1.4540 0.1366 4.6568
F 1.4878 2.8051 1.6547
F 1.6075 0.0169 7.8125
F -1.4540 2.8051 4.6568
F 1.6075 2.9586 4.8104
```

***

Record 4
VASP calculation (PBE) on crystalline TcIrOs2Cl at its relaxed geometry.

The value obtained for the calculated volume is 79 Å³/cell. The space group is No. 123. The uncorrected energy is -7.00 eV per atom. The crystal system is tetragonal.

Cell and atoms, written as extended XYZ:
```
5
Lattice="4.3107 0.0000 0.0000 0.0000 4.3107 0.0000 0.0000 0.0000 4.2663" Properties=species:S:1:pos:R:3 pbc="T T T"
Tc 0.0000 0.0000 0.0000
Ir 2.1553 2.1553 0.0000
Os 0.0000 2.1553 2.1331
Os 2.1553 0.0000 2.1331
Cl 0.0000 0.0000 2.1331
```

***

Record 5
VASP calculation (PBE) on crystalline CaReS2N at its relaxed geometry.

The value obtained for the calculated volume is 90 Å³/cell. The space group is No. 123. The uncorrected energy is -6.78 eV per atom. The crystal system is tetragonal. The excess energy over the best structure of this formula in the dataset comes out at 0.000 eV/atom.

Cell and atoms, written as extended XYZ:
```
5
Lattice="4.8818 0.0000 0.0000 0.0000 4.8818 0.0000 0.0000 0.0000 3.7871" Properties=species:S:1:pos:R:3 pbc="T T T"
Ca 0.0000 0.0000 0.0000
Re 2.4409 2.4409 1.8936
S 0.0000 2.4409 1.8936
S 2.4409 0.0000 1.8936
N 2.4409 2.4409 0.0000
```

***

Record 6
VASP calculation (PBE) on crystalline ScCdMo2 at its relaxed geometry.

The calculation puts the energy of formation from the pure elements at 185 meV per atom. The value obtained for the calculated volume is 72 Å³/cell. The space group is No. 216. The uncorrected energy is -7.04 eV per atom. The crystal system is cubic.

Cell and atoms, written as extended XYZ:
```
4
Lattice="0.0000 3.2948 3.2948 3.2948 0.0000 3.2948 3.2948 3.2948 0.0000" Properties=species:S:1:pos:R:3 pbc="T T T"
Sc 0.0000 0.0000 0.0000
Cd 4.9422 4.9422 4.9422
Mo 1.6474 1.6474 1.6474
Mo 3.2948 3.2948 3.2948
```

***

Record 7
VASP calculation (PBE) on crystalline Cs3Tb2InS6 at its relaxed geometry.

The value obtained for the calculated volume is 350 Å³/cell. The space group is No. 12. The uncorrected energy is -4.75 eV per atom. The crystal system is monoclinic.

Cell and atoms, written as extended XYZ:
```
12
Lattice="3.5421 -6.1339 0.0000 3.5421 6.1339 0.0000 -2.3660 0.0000 8.0606" Properties=species:S:1:pos:R:3 pbc="T T T"
Cs 0.0000 0.0000 0.0000
Cs 3.5421 2.0575 0.0000
Cs 3.5421 -2.0575 0.0000
Tb 2.3591 4.0917 4.0303
Tb 2.3591 -4.0917 4.0303
In 2.3591 0.0000 4.0303
S 1.2031 2.0028 2.5731
S 0.0423 0.0000 5.4958
S 1.2031 -2.0028 2.5731
S 3.5151 2.0028 5.4875
S 4.6758 0.0000 2.5648
S 3.5151 -2.0028 5.4875
```

***

Record 8
VASP calculation (PBE) on crystalline MnNbZn2W at its relaxed geometry.

The calculation puts the energy of formation from the pure elements at 1037 meV per atom. The value obtained for the calculated volume is 87 Å³/cell. The space group is No. 123. The uncorrected energy is -5.91 eV per atom. The crystal system is tetragonal.

Cell and atoms, written as extended XYZ:
```
5
Lattice="4.4534 0.0000 0.0000 0.0000 4.4534 0.0000 0.0000 0.0000 4.4085" Properties=species:S:1:pos:R:3 pbc="T T T"
Mn 0.0000 0.0000 0.0000
Nb 2.2267 2.2267 2.2042
Zn 0.0000 2.2267 0.0000
Zn 2.2267 0.0000 0.0000
W 0.0000 0.0000 2.2042
```

***

Record 9
VASP calculation (PBE) on crystalline SmHoCo at its relaxed geometry.

The calculation puts the energy of formation from the pure elements at -22 meV per atom. The value obtained for the calculated volume is 74 Å³/cell. The space group is No. 216. The uncorrected energy is -5.49 eV per atom. The crystal system is cubic. The excess energy over the best structure of this formula in the dataset comes out at 0.095 eV/atom.

Cell and atoms, written as extended XYZ:
```
3
Lattice="0.0000 3.3384 3.3384 3.3384 0.0000 3.3384 3.3384 3.3384 0.0000" Properties=species:S:1:pos:R:3 pbc="T T T"
Sm 0.0000 0.0000 0.0000
Ho 3.3384 3.3384 3.3384
Co 1.6692 1.6692 1.6692
```

***

Record 10
VASP calculation (PBE) on crystalline BaCa2LaH at its relaxed geometry.

The value obtained for the calculated volume is 178 Å³/cell. The space group is No. 123. The uncorrected energy is -2.87 eV per atom. The crystal system is tetragonal. The excess energy over the best structure of this formula in the dataset comes out at 0.000 eV/atom.

Cell and atoms, written as extended XYZ:
```
5
Lattice="6.1118 0.0000 0.0000 0.0000 6.1118 0.0000 0.0000 0.0000 4.7533" Properties=species:S:1:pos:R:3 pbc="T T T"
Ba 0.0000 0.0000 0.0000
Ca 0.0000 3.0559 2.3766
Ca 3.0559 0.0000 2.3766
La 3.0559 3.0559 0.0000
H 3.0559 3.0559 2.3766
```

***

Record 11
VASP calculation (PBE) on crystalline In3Fe5 at its relaxed geometry.

The calculation puts the energy of formation from the pure elements at 264 meV per atom. The value obtained for the calculated volume is 122 Å³/cell. The space group is No. 65. The uncorrected energy is -6.05 eV per atom. The crystal system is orthorhombic.

Cell and atoms, written as extended XYZ:
```
8
Lattice="3.8298 -4.0701 0.0000 3.8298 4.0701 0.0000 0.0000 0.0000 3.9285" Properties=species:S:1:pos:R:3 pbc="T T T"
In 0.0000 0.0000 0.0000
In 3.8298 1.8880 1.9642
In 3.8298 -1.8880 1.9642
Fe 1.9149 2.0350 0.0000
Fe 1.9420 0.0000 1.9642
Fe 1.9149 -2.0350 0.0000
Fe 3.8298 0.0000 0.0000
Fe 5.7177 0.0000 1.9642
```

***

Record 12
VASP calculation (PBE) on crystalline Ti4Al3Ga at its relaxed geometry.

The calculation puts the energy of formation from the pure elements at -86 meV per atom. The value obtained for the calculated volume is 140 Å³/cell. The space group is No. 12. The uncorrected energy is -5.82 eV per atom. The crystal system is monoclinic. The excess energy over the best structure of this formula in the dataset comes out at 0.215 eV/atom.

Cell and atoms, written as extended XYZ:
```
8
Lattice="11.9373 -1.4480 0.0000 11.9373 1.4480 0.0000 -0.6963 0.0000 4.0377" Properties=species:S:1:pos:R:3 pbc="T T T"
Ti 2.2844 0.0000 0.4024
Ti 5.0399 0.0000 0.8793
Ti 18.1385 0.0000 3.1583
Ti 20.8940 0.0000 3.6353
Al 7.8750 0.0000 1.3690
Al 11.9373 0.0000 0.0000
Al 15.3033 0.0000 2.6687
Ga -0.3481 0.0000 2.0188
```